HfTlTe2AuS after structural relaxation. Source: the Open Quantum Materials Database, functional GGA-PBE.

Calculated values
**Space group**: No. 63
**Magnetization**: 0.0 μB per formula unit
**Raw total energy**: -4.9184 eV per atom

Structure (extended XYZ):
```
12
Lattice="2.047 -8.598 0.000 2.047 8.598 0.000 0.000 0.000 10.048" Properties=species:S:1:pos:R:3 pbc="T T T"
Hf 0.000 0.000 0.000
Hf 0.000 0.000 5.024
Tl 2.047 4.958 7.536
Tl 2.047 -4.958 2.512
Te 2.047 2.149 0.013
Te 2.047 2.149 5.011
Te 2.047 -2.149 5.037
Te 2.047 -2.149 10.035
Au 2.047 1.078 2.512
Au 2.047 -1.078 7.536
S 2.047 8.068 2.512
S 2.047 -8.068 7.536
```

TmZn after structural relaxation. Source: the Open Quantum Materials Database, functional GGA-PBE.

Calculated values
**Space group**: No. 57
**Magnetization**: 0.2 μB per formula unit
**Raw total energy**: -3.0051 eV per atom
**Energy relative to the elements**: -135 meV per atom

Structure (extended XYZ):
```
8
Lattice="6.467 0.000 0.000 0.000 5.274 0.000 0.000 0.000 5.216" Properties=species:S:1:pos:R:3 pbc="T T T"
Tm 1.046 0.082 1.304
Tm 1.046 2.554 3.912
Tm 5.421 2.719 1.304
Tm 5.421 5.191 3.912
Zn 2.459 2.767 1.304
Zn 2.459 5.144 3.912
Zn 4.009 0.130 1.304
Zn 4.009 2.507 3.912
```

> Look up the raw total energy of the second one.

-3.0051 eV per atom